1.
# Mn5Fe

A relaxed structure of Mn5Fe (GGA-PBE, Alexandria).

extended XYZ file:
```
6
Lattice="0.000 3.252 3.252 3.252 0.000 3.252 3.252 3.252 0.000" Properties=species:S:1:pos:R:3 pbc="T T T"
Mn 0.000 0.000 0.000
Mn 4.064 2.439 2.439
Mn 2.439 4.064 2.439
Mn 2.439 2.439 4.064
Mn 4.064 4.064 4.064
Fe 1.626 1.626 1.626
```

Results
N(E_F) = 1.25 states/eV/atom
final energy = -8.880 eV per atom
magnetization = 2.743 μB/f.u.
E_form = 0.1722 eV per atom

***

2.
# Np2InB2Rh5

A relaxed structure of Np2InB2Rh5 (GGA-PBE, Alexandria).

extended XYZ file:
```
20
Lattice="9.796 0.000 0.000 0.000 9.796 0.000 0.000 0.000 3.183" Properties=species:S:1:pos:R:3 pbc="T T T"
Np 1.738 3.160 0.000
Np 3.160 8.058 0.000
Np 6.636 1.738 0.000
Np 8.058 6.636 0.000
In 0.000 0.000 0.000
In 4.898 4.898 0.000
B 1.177 6.075 0.000
B 3.721 1.177 0.000
B 6.075 8.619 0.000
B 8.619 3.721 0.000
Rh 0.000 4.898 1.592
Rh 0.686 7.551 1.592
Rh 2.245 0.686 1.592
Rh 2.653 5.584 1.592
Rh 4.212 2.653 1.592
Rh 4.898 0.000 1.592
Rh 5.584 7.143 1.592
Rh 7.143 4.212 1.592
Rh 7.551 9.110 1.592
Rh 9.110 2.245 1.592
```

Results
N(E_F) = 2.13 states/eV/atom
final energy = -8.318 eV per atom
magnetization = 7.135 μB/f.u.
E_form = -0.4449 eV per atom

***

3.
# Zn3SbF

A relaxed structure of Zn3SbF (GGA-PBE, Alexandria).

extended XYZ file:
```
5
Lattice="4.529 0.000 0.000 0.000 4.529 0.000 0.000 0.000 4.529" Properties=species:S:1:pos:R:3 pbc="T T T"
Zn 0.000 0.000 2.264
Zn 0.000 2.264 0.000
Zn 2.264 0.000 0.000
Sb 2.264 2.264 2.264
F 0.000 0.000 0.000
```

Results
N(E_F) = 0.32 states/eV/atom
final energy = -2.192 eV per atom
magnetization = 0.000 μB/f.u.
E above lowest polymorph = 0.00 eV per formula unit

***

4.
# DyPu2Fe2

A relaxed structure of DyPu2Fe2 (GGA-PBE, Alexandria).

extended XYZ file:
```
10
Lattice="1.966 -5.482 0.000 1.966 5.482 0.000 -1.963 0.000 10.104" Properties=species:S:1:pos:R:3 pbc="T T T"
Dy 0.493 4.118 7.578
Dy 1.475 -4.118 2.526
Pu -0.484 1.373 9.843
Pu 0.498 -1.373 4.791
Pu 1.471 1.373 5.313
Pu 2.452 -1.373 0.261
Fe 1.475 3.472 2.526
Fe 0.493 0.741 7.578
Fe 1.475 -0.741 2.526
Fe 0.493 -3.472 7.578
```

Results
N(E_F) = 2.51 states/eV/atom
final energy = -9.817 eV per atom
magnetization = 8.253 μB/f.u.
E_form = 0.2214 eV per atom